{"formula": "Li3Mg12Cu", "functional": "PBE-GGA", "state": "optimized geometry", "spacegroup": "P4/mmm", "delta_e_f_ev_per_atom": -0.012, "crystal_system": "tetragonal", "lattice": [[-4.079, 0.180, 1.679], [-1.688, -0.320, -4.067], [-0.174, -17.215, 1.426]], "species": ["Cu", "Mg", "Mg", "Mg", "Mg", "Mg", "Mg", "Mg", "Mg", "Mg", "Li", "Mg", "Mg", "Mg", "Li", "Li"], "fractional_positions": [[0.000, 0.000, 0.000], [0.500, 0.000, 0.114], [0.000, 0.500, 0.629], [0.000, 0.500, 0.886], [0.500, 0.500, 0.243], [0.500, 0.000, 0.629], [0.500, 0.500, 0.757], [0.500, 0.500, 0.500], [0.500, 0.500, 0.000], [0.500, 0.000, 0.371], [0.000, 0.000, 0.500], [0.000, 0.500, 0.371], [0.500, 0.000, 0.886], [0.000, 0.500, 0.114], [0.000, 0.000, 0.756], [0.000, 0.000, 0.244]]}

{"formula": "Tb4SbPS2", "functional": "PBE-GGA", "state": "optimized geometry", "formation_energy_uncorrected_mev_per_atom": -1674, "spacegroup": "P2/m", "crystal_system": "monoclinic", "lattice": [[4.077, 0.000, 0.000], [0.000, 7.016, -0.113], [0.000, 2.497, 6.690]], "species": ["Tb", "Sb", "P", "S", "Tb", "Tb", "Tb", "S"], "fractional_positions": [[0.500, 0.751, 0.265], [0.500, 0.500, 0.000], [0.000, 0.500, 0.500], [0.000, 0.000, 0.000], [0.000, 0.763, 0.728], [0.000, 0.237, 0.272], [0.500, 0.249, 0.735], [0.500, 0.000, 0.500]]}

{"formula": "BaYOs2", "functional": "PBE-GGA", "state": "optimized geometry", "spacegroup": "Imm2", "delta_e_f_ev_per_atom": 0.319, "de_polymorph_mev_per_atom": 214.5, "crystal_system": "orthorhombic", "lattice": [[-4.704, -0.727, -4.987], [0.531, -4.177, -5.459], [0.425, 0.354, 6.872]], "species": ["Y", "Os", "Os", "Ba"], "fractional_positions": [[0.483, 0.483, 0.000], [0.941, 0.941, 0.000], [0.853, 0.353, 0.500], [0.223, 0.723, 0.500]]}

{"formula": "PuTh2Sc", "functional": "PBE-GGA", "state": "optimized geometry", "spacegroup": "P4/mmm", "delta_e_f_ev_per_atom": 0.066, "de_polymorph_mev_per_atom": 0.0, "crystal_system": "tetragonal", "lattice": [[-4.363, -0.616, -0.059], [0.595, -3.907, -3.172], [0.391, -3.149, 3.952]], "species": ["Pu", "Th", "Th", "Sc"], "fractional_positions": [[0.500, 0.500, 0.500], [0.000, 0.000, 0.500], [0.000, 0.500, 0.000], [0.500, 0.000, 0.000]]}

Let's list total magnetization in order: 0.0; 0.0; 0.0; 6.0 μB/f.u..
Let's list raw total energy in order: -1.82; -6.21; -7.39; -8.81 eV per atom.
Let's list V in order: 21.04; 24.07; 30.12; 28.30 Å³/atom.